MgVO4 | GGA+U | optimized geometry

Lattice parameters (Å, degrees): 6.534 6.416 8.567 90.00 116.15 90.00
Fractional positions:
1 Mg 0.122 0.112 0.190
2 Mg 0.122 0.388 0.690
3 Mg 0.878 0.612 0.310
4 Mg 0.878 0.888 0.810
5 V 0.271 0.604 0.133
6 V 0.271 0.896 0.633
7 V 0.729 0.104 0.367
8 V 0.729 0.396 0.867
9 O 0.124 0.048 0.733
10 O 0.124 0.452 0.233
11 O 0.124 0.665 0.565
12 O 0.124 0.835 0.065
13 O 0.250 0.024 0.445
14 O 0.250 0.476 0.945
15 O 0.455 0.154 0.227
16 O 0.455 0.346 0.727
17 O 0.545 0.654 0.273
18 O 0.545 0.846 0.773
19 O 0.750 0.524 0.055
20 O 0.750 0.976 0.555
21 O 0.876 0.165 0.935
22 O 0.876 0.335 0.435
23 O 0.876 0.548 0.767
24 O 0.876 0.952 0.267

Results
The raw total energy comes out at -6.653 eV/atom. Its volume is 322.3 Å³/cell. The space-group type is P2_1/c, No. 14.